The following is a GGA+U calculation of a relaxed Li3CoPd2O6 crystal, from the Alexandria database.

Calculated values
DFT total energy ... -127.2 eV for the cell shown
Theoretical density ... 5.6 g cm⁻³

a b c (Å): 5.3801 8.8809 5.2640
angles (deg): 90.00 113.26 90.00
Space group C2/m (No. 12)
Inequivalent atoms, fractional coordinates:
Li  0.0000  0.0000  0.0000 x2
Li  0.0000  0.3322  0.0000 x4
Co  0.0000  0.5000  0.5000 x2
Pd  0.0000  0.1725  0.5000 x4
O  0.2196  0.3452  0.7445 x8
O  0.2376  0.5000  0.2896 x4